DFT (PBE) results for Sm3ErS6 after structural relaxation.

As for the density of states at the Fermi level: 0.0 states/eV/cell.

```
data_Sm3ErS6
_chemical_formula_sum 'Sm18 Er6 S36'
_symmetry_space_group_name_H-M 'R -3'
_symmetry_Int_Tables_number 148
_symmetry_space_group_name_Hall '-R 3'
_cell_length_a 11.6580
_cell_length_b 11.6580
_cell_length_c 13.7828
_cell_angle_alpha 90.00
_cell_angle_beta 90.00
_cell_angle_gamma 120.00
loop_
_atom_site_label
_atom_site_fract_x
_atom_site_fract_y
_atom_site_fract_z
Sm1 0.0491 0.7788 0.2025
Er1 0.0000 0.0000 0.0000
Er2 0.0000 0.0000 0.5000
S1 0.0219 0.8115 0.3994
S2 0.0312 0.8396 0.8776
```

DFT (PBE) results for SmErS3 after structural relaxation.

```
data_SmErS3
_chemical_formula_sum 'Sm4 Er4 S12'
_symmetry_space_group_name_H-M 'C 1 2/m 1'
_symmetry_Int_Tables_number 12
_cell_length_a 14.237
_cell_length_b 3.892
_cell_length_c 8.600
_cell_angle_alpha 90.00
_cell_angle_beta 93.55
_cell_angle_gamma 90.00
loop_
_symmetry_equiv_pos_as_xyz
'x,y,z'
'-x,-y,-z'
'-x,y,-z'
'x,-y,z'
'x+1/2,y+1/2,z'
'-x+1/2,-y+1/2,-z'
'-x+1/2,y+1/2,-z'
'x+1/2,-y+1/2,z'
loop_
_atom_site_label
_atom_site_fract_x
_atom_site_fract_y
_atom_site_fract_z
Sm1 0.115 0.000 0.085
Er1 0.170 0.500 0.634
S1 0.035 0.500 0.838
S2 0.140 0.000 0.429
S3 0.244 0.000 0.838
```

DFT (PBE) results for Sm2ErS after structural relaxation.

As for the density of states at the Fermi level: 14.4 states/eV/cell.

```
data_Sm2ErS
_chemical_formula_sum 'Sm6 Er3 S3'
_symmetry_space_group_name_H-M 'R -3 m'
_symmetry_Int_Tables_number 166
_symmetry_space_group_name_Hall '-R 3 2"'
_cell_length_a 3.7459
_cell_length_b 3.7459
_cell_length_c 30.0614
_cell_angle_alpha 90.00
_cell_angle_beta 90.00
_cell_angle_gamma 120.00
loop_
_atom_site_label
_atom_site_fract_x
_atom_site_fract_y
_atom_site_fract_z
Sm1 0.0000 0.0000 0.1110
Er1 0.0000 0.0000 0.0000
S1 0.0000 0.0000 0.5000
```

DFT (PBE) results for Sm3ErS after structural relaxation.

As for the density of states at the Fermi level: 5.8 states/eV/cell.

```
data_Sm3ErS
_chemical_formula_sum 'Sm3 Er1 S1'
_symmetry_space_group_name_H-M 'P m -3 m'
_symmetry_Int_Tables_number 221
_symmetry_space_group_name_Hall '-P 4 2 3'
_cell_length_a 5.412
_cell_length_b 5.412
_cell_length_c 5.412
_cell_angle_alpha 90.00
_cell_angle_beta 90.00
_cell_angle_gamma 90.00
loop_
_atom_site_label
_atom_site_fract_x
_atom_site_fract_y
_atom_site_fract_z
Sm1 0.000 0.000 0.500
Er1 0.500 0.500 0.500
S1 0.000 0.000 0.000
```

DFT (PBE) results for SmEr2S3 after structural relaxation.

As for the density of states at the Fermi level: 4.9 states/eV/cell.

```
data_SmEr2S3
_chemical_formula_sum 'Sm2 Er4 S6'
_symmetry_space_group_name_H-M 'I m m m'
_symmetry_Int_Tables_number 71
_symmetry_space_group_name_Hall '-I 2 2'
_cell_length_a 3.913
_cell_length_b 5.533
_cell_length_c 11.746
_cell_angle_alpha 90.00
_cell_angle_beta 90.00
_cell_angle_gamma 90.00
loop_
_atom_site_label
_atom_site_fract_x
_atom_site_fract_y
_atom_site_fract_z
Sm1 0.000 0.000 0.000
Er1 0.000 0.000 0.338
S1 0.000 0.500 0.000
S2 0.000 0.500 0.325
```

DFT (PBE) results for Sm3ErS4 after structural relaxation.

As for the density of states at the Fermi level: 4.4 states/eV/cell.

```
data_Sm3ErS4
_chemical_formula_sum 'Sm3 Er1 S4'
_symmetry_space_group_name_H-M 'P m -3 m'
_symmetry_Int_Tables_number 221
_symmetry_space_group_name_Hall '-P 4 2 3'
_cell_length_a 5.623
_cell_length_b 5.623
_cell_length_c 5.623
_cell_angle_alpha 90.00
_cell_angle_beta 90.00
_cell_angle_gamma 90.00
loop_
_atom_site_label
_atom_site_fract_x
_atom_site_fract_y
_atom_site_fract_z
Sm1 0.000 0.000 0.500
Er1 0.500 0.500 0.500
S1 0.000 0.000 0.000
S2 0.000 0.500 0.500
```

DFT (PBE) results for SmErS3 after structural relaxation.

```
data_SmErS3
_chemical_formula_sum 'Sm4 Er4 S12'
_symmetry_space_group_name_H-M 'P n m a'
_symmetry_Int_Tables_number 62
_cell_length_a 7.343
_cell_length_b 3.940
_cell_length_c 15.264
_cell_angle_alpha 90.00
_cell_angle_beta 90.00
_cell_angle_gamma 90.00
loop_
_symmetry_equiv_pos_as_xyz
'x,y,z'
'-x,-y,-z'
'-x+1/2,-y,z+1/2'
'x+1/2,y,-z+1/2'
'x+1/2,-y+1/2,-z+1/2'
'-x+1/2,y+1/2,z+1/2'
'-x,y+1/2,-z'
'x,-y+1/2,z'
loop_
_atom_site_label
_atom_site_fract_x
_atom_site_fract_y
_atom_site_fract_z
Sm1 0.143 0.250 0.202
Er1 0.231 0.750 0.457
S1 0.011 0.250 0.395
S2 0.124 0.750 0.063
S3 0.150 0.250 0.784
```

DFT (PBE) results for SmErS2 after structural relaxation.

As for the density of states at the Fermi level: 3.0 states/eV/cell.

```
data_SmErS2
_chemical_formula_sum 'Sm2 Er2 S4'
_symmetry_space_group_name_H-M 'C 1 2/m 1'
_symmetry_Int_Tables_number 12
_cell_length_a 6.779
_cell_length_b 3.928
_cell_length_c 6.870
_cell_angle_alpha 90.00
_cell_angle_beta 109.33
_cell_angle_gamma 90.00
loop_
_symmetry_equiv_pos_as_xyz
'x,y,z'
'-x,-y,-z'
'-x,y,-z'
'x,-y,z'
'x+1/2,y+1/2,z'
'-x+1/2,-y+1/2,-z'
'-x+1/2,y+1/2,-z'
'x+1/2,-y+1/2,z'
loop_
_atom_site_label
_atom_site_fract_x
_atom_site_fract_y
_atom_site_fract_z
Sm1 0.000 0.000 0.000
Er1 0.000 0.500 0.500
S1 0.245 0.000 0.736
```

DFT (PBE) results for Sm2ErS3 after structural relaxation.

As for the density of states at the Fermi level: 2.8 states/eV/cell.

```
data_Sm2ErS3
_chemical_formula_sum 'Sm2 Er1 S3'
_symmetry_space_group_name_H-M 'P -3 m 1'
_symmetry_Int_Tables_number 164
_symmetry_space_group_name_Hall '-P 3 2"'
_cell_length_a 3.9613
_cell_length_b 3.9613
_cell_length_c 9.7053
_cell_angle_alpha 90.00
_cell_angle_beta 90.00
_cell_angle_gamma 120.00
loop_
_atom_site_label
_atom_site_fract_x
_atom_site_fract_y
_atom_site_fract_z
Sm1 0.3333 0.6667 0.1687
Er1 0.0000 0.0000 0.5000
S1 0.0000 0.0000 0.0000
S2 0.3333 0.6667 0.6558
```

DFT (PBE) results for Sm6ErS8 after structural relaxation.

As for the density of states at the Fermi level: 26.6 states/eV/cell.

```
data_Sm6ErS8
_chemical_formula_sum 'Sm24 Er4 S32'
_symmetry_space_group_name_H-M 'F m -3 m'
_symmetry_Int_Tables_number 225
_symmetry_space_group_name_Hall '-F 4 2 3'
_cell_length_a 11.297
_cell_length_b 11.297
_cell_length_c 11.297
_cell_angle_alpha 90.00
_cell_angle_beta 90.00
_cell_angle_gamma 90.00
loop_
_atom_site_label
_atom_site_fract_x
_atom_site_fract_y
_atom_site_fract_z
Sm1 0.000 0.250 0.250
Er1 0.000 0.000 0.000
S1 0.000 0.000 0.244
S2 0.250 0.250 0.250
```

DFT (PBE) results for Sr3Sm3ErS8 after structural relaxation.

As for the density of states at the Fermi level: 13.9 states/eV/cell.

```
data_Sr3Sm3ErS8
_chemical_formula_sum 'Sr9 Sm9 Er3 S24'
_symmetry_space_group_name_H-M 'R -3 m'
_symmetry_Int_Tables_number 166
_symmetry_space_group_name_Hall '-R 3 2"'
_cell_length_a 8.1164
_cell_length_b 8.1164
_cell_length_c 20.6842
_cell_angle_alpha 90.00
_cell_angle_beta 90.00
_cell_angle_gamma 120.00
loop_
_atom_site_label
_atom_site_fract_x
_atom_site_fract_y
_atom_site_fract_z
Sr1 0.0000 0.5000 0.0000
Sm1 0.0000 0.5000 0.5000
Er1 0.0000 0.0000 0.5000
S1 0.0000 0.0000 0.2454
S2 0.0099 0.5050 0.2416
```

DFT (PBE) results for SrSmEr2S4 after structural relaxation.

As for the density of states at the Fermi level: 2.8 states/eV/cell.

```
data_SrSmEr2S4
_chemical_formula_sum 'Sr1 Sm1 Er2 S4'
_symmetry_space_group_name_H-M 'P 1 2/m 1'
_symmetry_Int_Tables_number 10
_cell_length_a 6.911
_cell_length_b 3.959
_cell_length_c 6.937
_cell_angle_alpha 90.00
_cell_angle_beta 109.00
_cell_angle_gamma 90.00
loop_
_symmetry_equiv_pos_as_xyz
'x,y,z'
'-x,-y,-z'
'-x,y,-z'
'x,-y,z'
loop_
_atom_site_label
_atom_site_fract_x
_atom_site_fract_y
_atom_site_fract_z
Sr1 0.000 0.000 0.000
Sm1 0.500 0.500 0.000
Er1 0.000 0.500 0.500
Er2 0.500 0.000 0.500
S1 0.248 0.000 0.734
S2 0.261 0.500 0.270
```

DFT (PBE) results for Tb2SmErS6 after structural relaxation.

As for the density of states at the Fermi level: 0.0 states/eV/cell.

```
data_Tb2SmErS6
_chemical_formula_sum 'Tb6 Sm3 Er3 S18'
_symmetry_space_group_name_H-M 'R 3'
_symmetry_Int_Tables_number 146
_symmetry_space_group_name_Hall 'R 3'
_cell_length_a 6.9586
_cell_length_b 6.9586
_cell_length_c 18.5804
_cell_angle_alpha 90.00
_cell_angle_beta 90.00
_cell_angle_gamma 120.00
loop_
_atom_site_label
_atom_site_fract_x
_atom_site_fract_y
_atom_site_fract_z
Tb1 0.0000 0.0000 0.0000
Tb2 0.0000 0.0000 0.4975
Sm1 0.0000 0.0000 0.2029
Er1 0.0000 0.0000 0.6991
S1 0.0074 0.7082 0.6000
S2 0.0319 0.3607 0.7657
```

DFT (PBE) results for TbSmEr2S6 after structural relaxation.

As for the density of states at the Fermi level: 0.0 states/eV/cell.

```
data_TbSmEr2S6
_chemical_formula_sum 'Tb3 Sm3 Er6 S18'
_symmetry_space_group_name_H-M 'R 3'
_symmetry_Int_Tables_number 146
_symmetry_space_group_name_Hall 'R 3'
_cell_length_a 6.9335
_cell_length_b 6.9335
_cell_length_c 18.4951
_cell_angle_alpha 90.00
_cell_angle_beta 90.00
_cell_angle_gamma 120.00
loop_
_atom_site_label
_atom_site_fract_x
_atom_site_fract_y
_atom_site_fract_z
Tb1 0.0000 0.0000 0.0000
Sm1 0.0000 0.0000 0.5027
Er1 0.0000 0.0000 0.2999
Er2 0.0000 0.0000 0.7983
S1 0.0088 0.3064 0.3970
S2 0.0165 0.7109 0.8974
```

DFT (PBE) results for Tb3Sm2ErS6 after structural relaxation.

As for the density of states at the Fermi level: 10.4 states/eV/cell.

```
data_Tb3Sm2ErS6
_chemical_formula_sum 'Tb6 Sm4 Er2 S12'
_symmetry_space_group_name_H-M 'C 1 2/m 1'
_symmetry_Int_Tables_number 12
_cell_length_a 17.167
_cell_length_b 3.933
_cell_length_c 7.924
_cell_angle_alpha 90.00
_cell_angle_beta 103.33
_cell_angle_gamma 90.00
loop_
_symmetry_equiv_pos_as_xyz
'x,y,z'
'-x,-y,-z'
'-x,y,-z'
'x,-y,z'
'x+1/2,y+1/2,z'
'-x+1/2,-y+1/2,-z'
'-x+1/2,y+1/2,-z'
'x+1/2,-y+1/2,z'
loop_
_atom_site_label
_atom_site_fract_x
_atom_site_fract_y
_atom_site_fract_z
Tb1 0.000 0.000 0.000
Tb2 0.169 0.500 0.333
Sm1 0.168 0.500 0.835
Er1 0.000 0.000 0.500
S1 0.002 0.500 0.256
S2 0.164 0.000 0.088
S3 0.164 0.000 0.577
```

DFT (PBE) results for TbSmEr4S8 after structural relaxation.

As for the density of states at the Fermi level: 25.0 states/eV/cell.

```
data_TbSmEr4S8
_chemical_formula_sum 'Tb3 Sm3 Er12 S24'
_symmetry_space_group_name_H-M 'R 3 m'
_symmetry_Int_Tables_number 160
_symmetry_space_group_name_Hall 'R 3 -2"'
_cell_length_a 8.0228
_cell_length_b 8.0228
_cell_length_c 19.7343
_cell_angle_alpha 90.00
_cell_angle_beta 90.00
_cell_angle_gamma 120.00
loop_
_atom_site_label
_atom_site_fract_x
_atom_site_fract_y
_atom_site_fract_z
Tb1 0.0000 0.0000 0.0000
Sm1 0.0000 0.0000 0.6252
Er1 0.0000 0.0000 0.3741
Er2 0.1674 0.3348 0.8326
S1 0.0000 0.0000 0.2420
S2 0.0000 0.0000 0.7606
S3 0.0162 0.5081 0.7531
S4 0.1793 0.3586 0.5780
```

DFT (PBE) results for Tb4SmEr3S8 after structural relaxation.

As for the density of states at the Fermi level: 26.3 states/eV/cell.

```
data_Tb4SmEr3S8
_chemical_formula_sum 'Tb12 Sm3 Er9 S24'
_symmetry_space_group_name_H-M 'R -3 m'
_symmetry_Int_Tables_number 166
_symmetry_space_group_name_Hall '-R 3 2"'
_cell_length_a 7.8297
_cell_length_b 7.8297
_cell_length_c 19.1806
_cell_angle_alpha 90.00
_cell_angle_beta 90.00
_cell_angle_gamma 120.00
loop_
_atom_site_label
_atom_site_fract_x
_atom_site_fract_y
_atom_site_fract_z
Tb1 0.0000 0.0000 0.0000
Tb2 0.0000 0.5000 0.0000
Sm1 0.0000 0.0000 0.5000
Er1 0.0000 0.5000 0.5000
S1 0.0000 0.0000 0.2478
S2 0.0065 0.5033 0.7506
```

DFT (PBE) results for Tb4Sm3ErS8 after structural relaxation.

As for the density of states at the Fermi level: 26.6 states/eV/cell.

```
data_Tb4Sm3ErS8
_chemical_formula_sum 'Tb12 Sm9 Er3 S24'
_symmetry_space_group_name_H-M 'R -3 m'
_symmetry_Int_Tables_number 166
_symmetry_space_group_name_Hall '-R 3 2"'
_cell_length_a 7.9028
_cell_length_b 7.9028
_cell_length_c 19.3614
_cell_angle_alpha 90.00
_cell_angle_beta 90.00
_cell_angle_gamma 120.00
loop_
_atom_site_label
_atom_site_fract_x
_atom_site_fract_y
_atom_site_fract_z
Tb1 0.0000 0.0000 0.0000
Tb2 0.0000 0.5000 0.0000
Sm1 0.0000 0.5000 0.5000
Er1 0.0000 0.0000 0.5000
S1 0.0000 0.0000 0.2527
S2 0.0067 0.5033 0.2510
```

DFT (PBE) results for Tb3SmEr2S6 after structural relaxation.

As for the density of states at the Fermi level: 9.6 states/eV/cell.

```
data_Tb3SmEr2S6
_chemical_formula_sum 'Tb6 Sm2 Er4 S12'
_symmetry_space_group_name_H-M 'C 1 2/m 1'
_symmetry_Int_Tables_number 12
_cell_length_a 6.777
_cell_length_b 11.784
_cell_length_c 6.785
_cell_angle_alpha 90.00
_cell_angle_beta 109.50
_cell_angle_gamma 90.00
loop_
_symmetry_equiv_pos_as_xyz
'x,y,z'
'-x,-y,-z'
'-x,y,-z'
'x,-y,z'
'x+1/2,y+1/2,z'
'-x+1/2,-y+1/2,-z'
'-x+1/2,y+1/2,-z'
'x+1/2,-y+1/2,z'
loop_
_atom_site_label
_atom_site_fract_x
_atom_site_fract_y
_atom_site_fract_z
Tb1 0.000 0.000 0.000
Tb2 0.000 0.337 0.000
Sm1 0.000 0.500 0.500
Er1 0.000 0.166 0.500
S1 0.241 0.000 0.746
S2 0.246 0.171 0.251
```

DFT (PBE) results for Tb4SmErS8 after structural relaxation.

As for the density of states at the Fermi level: 25.1 states/eV/cell.

```
data_Tb4SmErS8
_chemical_formula_sum 'Tb12 Sm3 Er3 S24'
_symmetry_space_group_name_H-M 'R 3 m'
_symmetry_Int_Tables_number 160
_symmetry_space_group_name_Hall 'R 3 -2"'
_cell_length_a 8.1011
_cell_length_b 8.1011
_cell_length_c 19.7762
_cell_angle_alpha 90.00
_cell_angle_beta 90.00
_cell_angle_gamma 120.00
loop_
_atom_site_label
_atom_site_fract_x
_atom_site_fract_y
_atom_site_fract_z
Tb1 0.0000 0.0000 0.0000
Tb2 0.0011 0.5005 0.8757
Sm1 0.0000 0.0000 0.7511
Er1 0.0000 0.0000 0.3754
S1 0.0000 0.0000 0.1324
S2 0.0000 0.0000 0.6167
S3 0.0277 0.5138 0.1275
S4 0.1780 0.3559 0.9578
```

Result set for M_tot: 0.00 0.00 0.00 0.00 0.00 0.00 0.00 0.00 0.00 0.00 0.00 0.00 0.00 0.00 0.00 0.00 0.00 0.00 0.00 0.00 μB per formula unit, one per record in the order listed.
Result set for energy relative to the elements, uncorrected: -2.063 -2.018 -0.703 -0.661 -1.973 -1.983 -2.077 -1.996 -2.001 -2.058 -2.085 -1.992 -2.051 -2.054 -2.004 -1.924 -1.984 -2.002 -1.996 -1.931 eV/atom, one per record in the order listed.